# PuNiGeO6

An optimized crystal structure of PuNiGeO6 (PBE with a Hubbard U, Alexandria).

Output
SG: P-31c
DFT total energy, eV/atom: -7.428
Crystal system: trigonal

extended XYZ file:
```
18
Lattice="-1.175 1.688 -4.775 -3.599 -2.434 2.856 -2.597 7.841 3.411" Properties=species:S:1:pos:R:3 pbc="T T T"
Pu -3.440 0.900 1.165
Pu -3.931 6.195 0.327
O -2.690 1.872 -3.270
O -0.838 1.578 -1.184
O -3.925 6.507 2.385
O -1.819 3.961 -1.865
O -4.427 2.970 -1.572
O -4.798 4.418 0.980
O -5.551 3.134 3.357
O -2.944 4.125 3.064
O -4.681 5.223 4.762
O -2.573 2.677 0.512
O -6.533 5.517 2.676
O -3.446 0.588 -0.893
Ni 0.000 0.000 0.000
Ni -1.299 3.921 1.706
Ge -4.739 4.821 2.871
Ge -2.632 2.274 -1.379
```